Entry 1:
Material: PrTlHgTe3
Method: DFT, GGA-PBE
State: relaxed

E_form (uncorrected) (eV per formula unit): -4.359
Calculated total energy (eV/atom): -3.54

Lattice parameters (Å, degrees): 4.5934 9.5218 10.5690 105.28 90.00 90.00
Fractional positions:
Pr 0.2500 0.6787 0.1447
Pr 0.7500 0.3213 0.8553
Tl 0.2500 0.2109 0.2249
Tl 0.7500 0.7891 0.7751
Hg 0.2500 0.0960 0.6121
Hg 0.7500 0.9040 0.3879
Te 0.7500 0.9096 0.1202
Te 0.2500 0.0904 0.8798
Te 0.2500 0.7688 0.4736
Te 0.7500 0.2312 0.5264
Te 0.7500 0.4521 0.1650
Te 0.2500 0.5479 0.8350

=====

Entry 2:
Material: CsYCl3
Method: DFT, GGA-PBE
State: relaxed

E_form (uncorrected) (eV per formula unit): -8.035
Calculated total energy (eV/atom): -4.18

Lattice parameters (Å, degrees): 6.3975 6.3975 9.8472 71.04 71.04 90.00
Site moments in Bohr magnetons follow the coordinates.
Fractional positions:
Cs 0.6386 0.1386 0.7228  0.01
Cs 0.8614 0.3614 0.2772  0.02
Y 0.0000 0.0000 0.0000  0.55
Y 0.2500 0.7500 0.5000  0.35
Cl 0.6246 0.8818 0.2364  0.00
Cl 0.1182 0.3754 0.7636  0.00
Cl 0.1182 0.8610 0.7636  0.00
Cl 0.1390 0.8818 0.2364  0.00
Cl 0.2914 0.2914 0.4171  0.00
Cl 0.7086 0.7086 0.5829  0.01

=====

Entry 3:
Material: InNiCl2
Method: DFT, GGA-PBE
State: relaxed

E_form (uncorrected) (eV per formula unit): -1.543
Calculated total energy (eV/atom): -3.44
E above lowest polymorph (meV/atom): 87

Lattice parameters (Å, degrees): 8.5435 8.5435 8.5435 23.72 23.72 23.72
Site moments in Bohr magnetons follow the coordinates.
Fractional positions:
Ni 0.7500 0.7500 0.7500  1.21
Cl 0.0293 0.0293 0.0293  0.12
Cl 0.4707 0.4707 0.4707  0.12
In 0.2500 0.2500 0.2500  -0.10

=====

Entry 4:
Material: CaTcCl2
Method: DFT, GGA-PBE
State: relaxed

E_form (uncorrected) (eV per formula unit): -1.639
Calculated total energy (eV/atom): -4.42
E above lowest polymorph (meV/atom): 137

Lattice parameters (Å, degrees): 10.9682 10.9682 10.9682 19.23 19.23 19.23
Site moments in Bohr magnetons follow the coordinates.
Fractional positions:
Ca 0.7500 0.7500 0.7500  0.00
Tc 0.2500 0.2500 0.2500  3.40
Cl 0.0328 0.0328 0.0328  0.00
Cl 0.4672 0.4672 0.4672  0.00